# NdGeHRh (GGA-PBE, optimized geometry)
# crystal system	tetragonal
# final energy	-5.857	eV per atom
data_NdGeHRh
_chemical_formula_sum 'Nd2 Ge2 H2 Rh2'
_space_group_name_H-M_alt 'P 1'
_space_group_IT_number 1
_space_group_name_Hall 'P 1'
_cell_length_a 4.132
_cell_length_b 4.132
_cell_length_c 7.671
_cell_angle_alpha 90.00
_cell_angle_beta 90.00
_cell_angle_gamma 90.00
loop_
_atom_site_label
_atom_site_fract_x
_atom_site_fract_y
_atom_site_fract_z
H1 0.000 0.000 0.500
H2 0.500 0.500 0.500
Rh1 0.500 0.500 0.000
Rh2 0.000 0.000 0.000
Ge1 0.500 0.000 0.180
Ge2 0.000 0.500 0.820
Nd1 0.500 0.000 0.661
Nd2 0.000 0.500 0.339